1.
Computed, not measured: a relaxed Cs6Rb12P crystal at the PBE-GGA level of DFT.

Unit cell a=12.247 b=12.247 c=12.247 alpha=78.49 beta=78.49 gamma=78.49
Atoms (fractional coordinates):
Rb1 0.857 0.533 0.857
Cs1 0.130 0.817 0.817
Rb2 0.533 0.857 0.857
Cs2 0.817 0.130 0.817
P1 0.000 0.000 0.000
Rb3 0.143 0.467 0.143
Cs3 0.870 0.183 0.183
Rb4 0.806 0.472 0.472
Cs4 0.183 0.183 0.870
Cs5 0.183 0.870 0.183
Cs6 0.817 0.817 0.130
Rb5 0.472 0.472 0.806
Rb6 0.528 0.528 0.194
Rb7 0.467 0.143 0.143
Rb8 0.528 0.194 0.528
Rb9 0.194 0.528 0.528
Rb10 0.143 0.143 0.467
Rb11 0.857 0.857 0.533
Rb12 0.472 0.806 0.472

Its space group is No. 166. As for the total moment: 0.00 μB/cell. The calculated total energy is -1.200 eV/atom. As for the calculated formation energy: -0.034 eV per atom. For the density of states at the Fermi level, the calculation gives 15.00 states/eV/cell.

=====

2.
Computed, not measured: a relaxed BaSr2Tl3 crystal at the PBE-GGA level of DFT.

Unit cell a=4.172 b=4.172 c=12.477 alpha=90.00 beta=90.00 gamma=90.00
Atoms (fractional coordinates):
Ba1 0.500 0.500 0.500
Sr1 0.500 0.500 0.839
Tl1 0.000 0.000 0.319
Tl2 0.000 0.000 0.000
Tl3 0.000 0.000 0.681
Sr2 0.500 0.500 0.161

Its space group is No. 123. As for the total moment: 0.00 μB/cell. The calculated total energy is -2.486 eV/atom. As for the calculated formation energy: -0.422 eV per atom. For the density of states at the Fermi level, the calculation gives 4.14 states/eV/cell.

=====

3.
Computed, not measured: a relaxed EuPaP crystal at the PBE-GGA level of DFT.

Unit cell a=6.638 b=3.831 c=3.831 alpha=120.00 beta=90.00 gamma=90.00
Atoms (fractional coordinates):
Pa1 0.077 0.000 0.000
P1 0.320 0.333 0.667
Eu1 0.603 0.667 0.333

Its space group is No. 156. As for the total moment: 8.81 μB/cell. The calculated total energy is -8.893 eV/atom. As for the calculated formation energy: -0.500 eV per atom. For the density of states at the Fermi level, the calculation gives 4.97 states/eV/cell.

=====

calculated formation energy of number 2 (BaSr2Tl3)?
-0.422 eV per atom

=====

calculated formation energy of number 3 (EuPaP)?
-0.500 eV per atom